Tl5Sn3Hg12: optimized geometry, PBE-GGA.

Calculated values
- Volume: 34.480 A^3/atom
- DFT total energy: -1.226 eV per atom
- Theoretical density: 9.11 g/cm³
- Formation energy from the elements: 0.147 eV per atom
- Total magnetic moment: 0.00 μB per cell

Lattice parameters (Å, degrees): 15.302 15.302 15.302 109.47 109.47 109.47
Atoms (fractional coordinates):
Sn  0.750  0.375  0.125
Sn  0.875  0.750  0.125
Sn  0.375  0.750  0.625
Sn  0.250  0.125  0.375
Sn  0.875  0.125  0.250
Sn  0.375  0.625  0.250
Sn  0.625  0.375  0.750
Sn  0.125  0.875  0.750
Sn  0.750  0.875  0.625
Sn  0.625  0.250  0.375
Sn  0.125  0.250  0.875
Sn  0.250  0.625  0.875
Tl  0.125  0.375  0.250
Tl  0.000  0.500  0.000
Tl  0.000  0.000  0.000
Tl  0.375  0.250  0.125
Tl  0.500  0.000  0.500
Tl  0.500  0.500  0.000
Tl  0.125  0.750  0.375
Tl  0.750  0.125  0.875
Tl  0.750  0.625  0.375
Tl  0.375  0.125  0.750
Tl  0.625  0.875  0.250
Tl  0.500  0.500  0.500
Tl  0.500  0.000  0.000
Tl  0.000  0.000  0.500
Tl  0.250  0.375  0.625
Tl  0.250  0.875  0.125
Tl  0.000  0.500  0.500
Tl  0.875  0.250  0.625
Tl  0.625  0.750  0.875
Tl  0.875  0.625  0.750
Hg  0.736  0.143  0.070
Hg  0.334  0.570  0.426
Hg  0.930  0.357  0.264
Hg  0.570  0.236  0.143
Hg  0.593  0.736  0.666
Hg  0.930  0.574  0.166
Hg  0.334  0.764  0.407
Hg  0.074  0.907  0.143
Hg  0.574  0.930  0.666
Hg  0.736  0.593  0.166
Hg  0.764  0.430  0.357
Hg  0.834  0.926  0.070
Hg  0.143  0.736  0.570
Hg  0.357  0.426  0.093
Hg  0.093  0.926  0.357
Hg  0.407  0.143  0.574
Hg  0.093  0.166  0.236
Hg  0.430  0.666  0.074
Hg  0.834  0.907  0.264
Hg  0.143  0.407  0.074
Hg  0.357  0.930  0.764
Hg  0.574  0.643  0.407
Hg  0.926  0.834  0.570
Hg  0.764  0.334  0.907
Hg  0.426  0.357  0.593
Hg  0.074  0.166  0.430
Hg  0.236  0.666  0.093
Hg  0.166  0.093  0.736
Hg  0.643  0.070  0.236
Hg  0.857  0.593  0.926
Hg  0.570  0.334  0.926
Hg  0.593  0.857  0.426
Hg  0.907  0.834  0.764
Hg  0.907  0.074  0.643
Hg  0.857  0.264  0.430
Hg  0.166  0.074  0.930
Hg  0.643  0.574  0.907
Hg  0.426  0.070  0.334
Hg  0.264  0.407  0.834
Hg  0.236  0.570  0.643
Hg  0.926  0.093  0.857
Hg  0.666  0.236  0.593
Hg  0.430  0.764  0.857
Hg  0.070  0.426  0.834
Hg  0.407  0.264  0.334
Hg  0.070  0.643  0.736
Hg  0.666  0.430  0.574
Hg  0.264  0.857  0.930

---

MgRe3C: optimized geometry, PBE-GGA.

Calculated values
- Volume: 18.073 A^3/atom
- DFT total energy: -5.688 eV per atom
- Energy relative to the lowest polymorph listed for this composition: 3.595 eV/atom
- Theoretical density: 10.93 g/cm³
- Formation energy from the elements: 3.945 eV per atom
- Total magnetic moment: 0.84 μB per cell

Lattice parameters (Å, degrees): 4.487 4.487 4.487 90.00 90.00 90.00
Atoms (fractional coordinates):
Re  0.000  0.500  0.000
Re  0.000  0.000  0.500
Re  0.500  0.000  0.000
Mg  0.000  0.000  0.000
C  0.500  0.500  0.500

---

What did the first record say?
Tl5Sn3Hg12: optimized geometry, PBE-GGA.

Calculated values
- Volume: 34.480 A^3/atom
- DFT total energy: -1.226 eV per atom
- Theoretical density: 9.11 g/cm³
- Formation energy from the elements: 0.147 eV per atom
- Total magnetic moment: 0.00 μB per cell

Lattice parameters (Å, degrees): 15.302 15.302 15.302 109.47 109.47 109.47
Atoms (fractional coordinates):
Sn  0.750  0.375  0.125
Sn  0.875  0.750  0.125
Sn  0.375  0.750  0.625
Sn  0.250  0.125  0.375
Sn  0.875  0.125  0.250
Sn  0.375  0.625  0.250
Sn  0.625  0.375  0.750
Sn  0.125  0.875  0.750
Sn  0.750  0.875  0.625
Sn  0.625  0.250  0.375
Sn  0.125  0.250  0.875
Sn  0.250  0.625  0.875
Tl  0.125  0.375  0.250
Tl  0.000  0.500  0.000
Tl  0.000  0.000  0.000
Tl  0.375  0.250  0.125
Tl  0.500  0.000  0.500
Tl  0.500  0.500  0.000
Tl  0.125  0.750  0.375
Tl  0.750  0.125  0.875
Tl  0.750  0.625  0.375
Tl  0.375  0.125  0.750
Tl  0.625  0.875  0.250
Tl  0.500  0.500  0.500
Tl  0.500  0.000  0.000
Tl  0.000  0.000  0.500
Tl  0.250  0.375  0.625
Tl  0.250  0.875  0.125
Tl  0.000  0.500  0.500
Tl  0.875  0.250  0.625
Tl  0.625  0.750  0.875
Tl  0.875  0.625  0.750
Hg  0.736  0.143  0.070
Hg  0.334  0.570  0.426
Hg  0.930  0.357  0.264
Hg  0.570  0.236  0.143
Hg  0.593  0.736  0.666
Hg  0.930  0.574  0.166
Hg  0.334  0.764  0.407
Hg  0.074  0.907  0.143
Hg  0.574  0.930  0.666
Hg  0.736  0.593  0.166
Hg  0.764  0.430  0.357
Hg  0.834  0.926  0.070
Hg  0.143  0.736  0.570
Hg  0.357  0.426  0.093
Hg  0.093  0.926  0.357
Hg  0.407  0.143  0.574
Hg  0.093  0.166  0.236
Hg  0.430  0.666  0.074
Hg  0.834  0.907  0.264
Hg  0.143  0.407  0.074
Hg  0.357  0.930  0.764
Hg  0.574  0.643  0.407
Hg  0.926  0.834  0.570
Hg  0.764  0.334  0.907
Hg  0.426  0.357  0.593
Hg  0.074  0.166  0.430
Hg  0.236  0.666  0.093
Hg  0.166  0.093  0.736
Hg  0.643  0.070  0.236
Hg  0.857  0.593  0.926
Hg  0.570  0.334  0.926
Hg  0.593  0.857  0.426
Hg  0.907  0.834  0.764
Hg  0.907  0.074  0.643
Hg  0.857  0.264  0.430
Hg  0.166  0.074  0.930
Hg  0.643  0.574  0.907
Hg  0.426  0.070  0.334
Hg  0.264  0.407  0.834
Hg  0.236  0.570  0.643
Hg  0.926  0.093  0.857
Hg  0.666  0.236  0.593
Hg  0.430  0.764  0.857
Hg  0.070  0.426  0.834
Hg  0.407  0.264  0.334
Hg  0.070  0.643  0.736
Hg  0.666  0.430  0.574
Hg  0.264  0.857  0.930

---

Q: theoretical density of number 1 (Tl5Sn3Hg12)?
A: 9.11 g/cm³

---

Q: Among the records above, which one has the lowest formation energy from the elements?
A: Tl5Sn3Hg12